[1]
The following is a DFT calculation (PBE) of an optimized crystal structure of LiCaScTl.

Cell: 7.3565 7.3565 7.3565 Å, 90.00 90.00 90.00°
Last column: nearest neighbours and their distance in Å.
Space group F-43m (No. 216)
Unique sites:
Li 0.0000 0.0000 0.0000 [4 per cell]  4 Sc 3.19, 4 Ca 3.19
Ca 0.2500 0.2500 0.7500 [4 per cell]  4 Tl 3.19, 4 Li 3.19
Sc 0.2500 0.2500 0.2500 [4 per cell]  4 Tl 3.19, 4 Li 3.19
Tl 0.0000 0.0000 0.5000 [4 per cell]  4 Ca 3.19, 4 Sc 3.19

Summary:
ΔE_f ... -177 meV per atom



[2]
The following is a DFT calculation (PBE) of an optimized crystal structure of LiCaSc2V.

Cell: 4.9892 4.9892 4.7423 Å, 90.00 90.00 90.00°
Last column: nearest neighbours and their distance in Å.
Space group P4/mmm (No. 123)
Unique sites:
Li 0.0000 0.0000 0.0000 [1 per cell]  2 V 2.37, 4 Sc 2.49
Ca 0.5000 0.5000 0.5000 [1 per cell]  8 Sc 3.44, 4 V 3.53
Sc 0.0000 0.5000 0.0000 [2 per cell]  2 Li 2.49
V 0.0000 0.0000 0.5000 [1 per cell]  2 Li 2.37

Summary:
ΔE_f ... 834 meV per atom



[3]
The following is a DFT calculation (PBE) of an optimized crystal structure of LiCaScZn2.

Cell: 4.6723 4.6723 4.7693 Å, 90.00 90.00 90.00°
Last column: nearest neighbours and their distance in Å.
Space group P4/mmm (No. 123)
Unique sites:
Li 0.0000 0.0000 0.0000 [1 per cell]  4 Zn 2.34, 2 Ca 2.38
Ca 0.0000 0.0000 0.5000 [1 per cell]  2 Li 2.38
Sc 0.5000 0.5000 0.5000 [1 per cell]  4 Ca 3.30, 8 Zn 3.34
Zn 0.0000 0.5000 0.0000 [2 per cell]  2 Li 2.34

Summary:
ΔE_f ... 244 meV per atom



[4]
The following is a DFT calculation (PBE) of an optimized crystal structure of LiCaSc2Zn.

Cell: 5.3845 5.3845 4.4710 Å, 90.00 90.00 90.00°
Last column: nearest neighbours and their distance in Å.
Space group P4/mmm (No. 123)
Unique sites:
Li 0.0000 0.0000 0.0000 [1 per cell]  2 Ca 2.24
Ca 0.0000 0.0000 0.5000 [1 per cell]  2 Li 2.24
Sc 0.0000 0.5000 0.5000 [2 per cell]  2 Ca 2.69
Zn 0.5000 0.5000 0.0000 [1 per cell]  8 Sc 3.50, 4 Li 3.81

Summary:
ΔE_f ... 1147 meV per atom



[5]
The following is a DFT calculation (PBE) of an optimized crystal structure of LiCaSe3.

Cell: 5.5387 5.5387 5.5387 Å, 90.00 90.00 90.00°
Last column: nearest neighbours and their distance in Å.
Space group Pm-3m (No. 221)
Unique sites:
Li 0.0000 0.0000 0.0000 [1 per cell]  12 Se 3.92
Ca 0.5000 0.5000 0.5000 [1 per cell]  6 Se 2.77
Se 0.0000 0.5000 0.5000 [3 per cell]  2 Ca 2.77

Summary:
Uncorrected formation energy ... -0.3197 eV per atom



[6]
The following is a DFT calculation (PBE) of an optimized crystal structure of Li2CaSe.

Cell: 4.0755 4.0755 13.0927 Å, 90.00 90.00 90.00°
Last column: nearest neighbours and their distance in Å.
Space group I4/mmm (No. 139)
Unique sites:
Li 0.0000 0.0000 0.1925 [4 per cell]  1 Se 2.52
Ca 0.0000 0.0000 0.5000 [2 per cell]  4 Se 2.88
Se 0.0000 0.0000 0.0000 [2 per cell]  2 Li 2.52

Summary:
Uncorrected formation energy ... -0.8578 eV per atom



[7]
The following is a DFT calculation (PBE) of an optimized crystal structure of LiCa4Se.

Cell: 9.6606 9.6606 9.6606 Å, 90.00 90.00 90.00°
Last column: nearest neighbours and their distance in Å.
Space group F-43m (No. 216)
Unique sites:
Li 0.0000 0.0000 0.0000 [4 per cell]  12 Ca 4.01, 4 Se 4.18
Ca 0.1246 0.1246 0.3754 [16 per cell]  6 Ca 3.41-3.43
Se 0.2500 0.2500 0.7500 [4 per cell]  12 Ca 4.00, 4 Li 4.18

Summary:
Uncorrected formation energy ... 0.1540 eV per atom



[8]
The following is a DFT calculation (PBE) of an optimized crystal structure of Li2CaSe.

Cell: 5.4161 5.4282 6.0392 Å, 90.00 90.00 90.00°
Last column: nearest neighbours and their distance in Å.
Space group Cmmm (No. 65)
Unique sites:
Li 0.0000 0.0000 0.1962 [4 per cell]  1 Li 2.37
Ca 0.0000 0.5000 0.5000 [2 per cell]  2 Se 3.02, 8 Li 3.27-3.28
Se 0.0000 0.5000 0.0000 [2 per cell]  8 Li 2.96, 2 Ca 3.02

Summary:
Uncorrected formation energy ... -0.6990 eV per atom



[9]
The following is a DFT calculation (PBE) of an optimized crystal structure of Li2CaSe.

Cell: 8.5851 8.5851 5.7246 Å, 90.00 90.00 90.00°
Last column: nearest neighbours and their distance in Å.
Space group I-42d (No. 122)
Unique sites:
Li 0.1457 0.2500 0.1250 [8 per cell]  2 Se 2.59
Ca 0.0000 0.0000 0.5000 [4 per cell]  2 Se 2.86
Se 0.0000 0.0000 0.0000 [4 per cell]  4 Li 2.59, 2 Ca 2.86

Summary:
Uncorrected formation energy ... -0.6787 eV per atom



[10]
The following is a DFT calculation (PBE) of an optimized crystal structure of Li2CaSe.

Cell: 4.1109 4.1109 20.2967 Å, 90.00 90.00 120.00°
Last column: nearest neighbours and their distance in Å.
Space group R-3m (No. 166, hexagonal axes)
Unique sites:
Li 0.0000 0.0000 0.2078 [6 per cell]  3 Se 2.52
Ca 0.0000 0.0000 0.0000 [3 per cell]  6 Li 3.48
Se 0.0000 0.0000 0.5000 [3 per cell]  6 Li 2.52

Summary:
Uncorrected formation energy ... -0.7230 eV per atom



[11]
The following is a DFT calculation (PBE) of an optimized crystal structure of LiCa2Se.

Cell: 4.9355 4.9355 8.6764 Å, 90.00 90.00 90.00°
Last column: nearest neighbours and their distance in Å.
Space group I4/mmm (No. 139)
Unique sites:
Li 0.0000 0.0000 0.0000 [2 per cell]  8 Ca 3.29, 4 Se 3.49
Ca 0.0000 0.5000 0.2500 [4 per cell]  4 Se 3.29, 4 Li 3.29, 4 Ca 3.49
Se 0.0000 0.0000 0.5000 [2 per cell]  8 Ca 3.29, 4 Li 3.49

Summary:
Uncorrected formation energy ... -0.5625 eV per atom



[12]
The following is a DFT calculation (PBE) of an optimized crystal structure of Li2CaSe.

Cell: 3.6153 4.1647 13.0796 Å, 90.00 90.00 90.00°
Last column: nearest neighbours and their distance in Å.
Space group Imm2 (No. 44)
Unique sites:
Li 0.0000 0.0000 0.0000 [2 per cell]  2 Se 2.64, 2 Li 2.69
Li 0.0000 0.5000 0.1304 [2 per cell]  2 Li 2.69, 4 Se 2.77
Ca 0.0000 0.0000 0.3276 [2 per cell]  2 Se 2.97, 2 Li 3.32
Se 0.0000 0.5000 0.6472 [2 per cell]  6 Li 2.64-2.77

Summary:
Uncorrected formation energy ... -0.7251 eV per atom



Number 1: E -3.33 eV/atom. Number 2: E -4.31 eV/atom. Number 3: E -2.31 eV/atom. Number 4: E -2.42 eV/atom. Number 5: E -3.19 eV/atom. Number 6: E -3.19 eV/atom. Number 7: E -2.08 eV/atom. Number 8: E -3.03 eV/atom. Number 9: E -3.01 eV/atom. Number 10: E -3.05 eV/atom. Number 11: E -2.91 eV/atom. Number 12: E -3.05 eV/atom.